K2TaIr3O12 | PBE | optimized geometry

Space group: R-3m, No. 166

Cell: 7.326 7.326 7.326 Å, 58.89 58.89 58.89°
Each line ends with the local moment (μB).
Sites, in units of the cell vectors:
Ir (0.000, 0.000, 0.500)  0.37
Ir (0.500, 0.000, 0.000)  0.37
Ir (0.000, 0.500, 0.000)  0.37
O (0.071, 0.675, 0.071)  0.08
O (0.929, 0.325, 0.929)  0.08
O (0.077, 0.683, 0.683)  0.06
O (0.317, 0.317, 0.923)  0.06
O (0.929, 0.929, 0.325)  0.08
O (0.071, 0.071, 0.675)  0.08
O (0.317, 0.923, 0.317)  0.06
O (0.683, 0.683, 0.077)  0.06
O (0.683, 0.077, 0.683)  0.06
O (0.923, 0.317, 0.317)  0.06
O (0.675, 0.071, 0.071)  0.08
O (0.325, 0.929, 0.929)  0.08
K (0.375, 0.375, 0.375)  0.00
K (0.625, 0.625, 0.625)  0.00
Ta (0.000, 0.000, 0.000)  0.00


NaSr4Ac3S8 | PBE | optimized geometry

Space group: R-3m, No. 166

Cell: 8.552 8.581 8.553 Å, 119.89 120.00 90.00°
Sites, in units of the cell vectors:
Sr (0.500, 0.000, 0.500)
Sr (0.000, 0.000, 0.000)
Sr (0.000, 0.000, 0.500)
Sr (0.500, 0.000, 0.000)
S (0.751, 0.753, 0.502)
S (0.749, 0.250, 0.498)
S (0.252, 0.250, 0.001)
S (0.251, 0.750, 0.999)
S (0.748, 0.750, 0.999)
S (0.251, 0.750, 0.502)
S (0.249, 0.247, 0.498)
S (0.749, 0.250, 0.001)
Ac (0.000, 0.500, 0.500)
Ac (0.500, 0.500, 0.000)
Ac (0.500, 0.500, 0.500)
Na (0.000, 0.500, 0.000)


Number 1: calculated volume 271 Å³/cell, total moment 2.16 μB/f.u., ΔE_f (raw) -123.2 kJ/mol of atoms. Number 2: calculated volume 445 Å³/cell, total moment 0.00 μB/f.u., ΔE_f (raw) -194.1 kJ/mol of atoms.